(1)
NdZn2Ag2: optimized geometry, PBE-GGA.

Lattice parameters (Å, degrees): 3.9433 6.7108 8.3401 90.00 90.00 107.09
Closest atoms and distances in Å follow each position.
Element x y z (fractional)
Nd 0.0850 0.1700 0.7500  6 Zn 3.28-3.51, 8 Ag 3.33-3.40
Nd 0.9150 0.8300 0.2500  6 Zn 3.28-3.51, 8 Ag 3.33-3.40
Zn 0.2345 0.4689 0.3978  3 Zn 2.47-2.64, 3 Ag 2.68-2.69
Zn 0.7655 0.5311 0.8978  3 Zn 2.47-2.64, 3 Ag 2.68-2.69
Zn 0.2345 0.4689 0.1022  3 Zn 2.47-2.64, 3 Ag 2.68-2.69
Zn 0.7655 0.5311 0.6022  3 Zn 2.47-2.64, 3 Ag 2.68-2.69
Ag 0.4064 0.8128 0.9185  3 Zn 2.68-2.69, 2 Ag 2.76-2.81
Ag 0.5936 0.1872 0.4185  3 Zn 2.68-2.69, 2 Ag 2.76-2.81
Ag 0.5936 0.1872 0.0815  3 Zn 2.68-2.69, 2 Ag 2.76-2.81
Ag 0.4064 0.8128 0.5815  3 Zn 2.68-2.69, 2 Ag 2.76-2.81

Results
total magnetization: 0.000 μB per cell
DOS(E_F): 6.5 states/eV per cell



(2)
NdZn2Ag6: optimized geometry, PBE-GGA.

Lattice parameters (Å, degrees): 8.4262 8.4262 8.4262 60.00 60.00 60.00
Closest atoms and distances in Å follow each position.
Element x y z (fractional)
Nd 0.5000 0.5000 0.5000  6 Ag 3.00
Nd 0.7500 0.7500 0.7500  6 Ag 3.00
Zn 0.1250 0.1250 0.1250  6 Ag 2.57
Zn 0.1250 0.6250 0.1250  6 Ag 2.57
Zn 0.1250 0.1250 0.6250  6 Ag 2.57
Zn 0.6250 0.1250 0.1250  6 Ag 2.57
Ag 0.2481 0.2481 0.7519  2 Zn 2.57
Ag 0.7519 0.7519 0.2481  2 Zn 2.57
Ag 0.2481 0.7519 0.2481  2 Zn 2.57
Ag 0.2481 0.7519 0.7519  2 Zn 2.57
Ag 0.4981 0.4981 0.0019  2 Zn 2.57
Ag 0.4981 0.0019 0.0019  2 Zn 2.57
Ag 0.7519 0.2481 0.7519  2 Zn 2.57
Ag 0.0019 0.0019 0.4981  2 Zn 2.57
Ag 0.4981 0.0019 0.4981  2 Zn 2.57
Ag 0.0019 0.4981 0.4981  2 Zn 2.57
Ag 0.7519 0.2481 0.2481  2 Zn 2.57
Ag 0.0019 0.4981 0.0019  2 Zn 2.57

Results
total magnetization: 0.000 μB per cell
DOS(E_F): 8.2 states/eV per cell



(3)
Nd4Zn2Ag3: optimized geometry, PBE-GGA.

Lattice parameters (Å, degrees): 5.1471 5.1493 9.6337 90.00 90.00 60.01
Closest atoms and distances in Å follow each position.
Element x y z (fractional)
Nd 0.6668 0.6664 0.8867  4 Zn 3.14-3.19, 3 Ag 3.17
Nd 0.9998 0.0004 0.3387  1 Nd 3.11, 3 Zn 3.19, 7 Ag 3.26-3.39
Nd 0.0002 0.9996 0.6613  1 Nd 3.11, 3 Zn 3.19, 7 Ag 3.26-3.39
Nd 0.3332 0.3336 0.1133  4 Zn 3.14-3.19, 3 Ag 3.17
Zn 0.3336 0.3329 0.7816  1 Ag 2.79
Zn 0.6664 0.6671 0.2184  1 Ag 2.79
Ag 0.3334 0.3333 0.4922  1 Zn 2.79, 3 Ag 2.98
Ag 0.0000 0.0000 0.0000  8 Nd 3.17-3.26
Ag 0.6666 0.6667 0.5078  1 Zn 2.79, 3 Ag 2.98

Results
total magnetization: 0.000 μB per cell
DOS(E_F): 7.9 states/eV per cell



(4)
Nd3Zn4Ag4: optimized geometry, PBE-GGA.

Lattice parameters (Å, degrees): 3.7629 4.5643 14.3733 80.92 82.50 90.08
Closest atoms and distances in Å follow each position.
Element x y z (fractional)
Nd 0.1436 0.6439 0.7136  6 Zn 3.23-3.31, 6 Ag 3.25-3.36
Nd 0.8564 0.3561 0.2864  6 Zn 3.23-3.31, 6 Ag 3.25-3.36
Nd 0.0000 0.0000 0.0000  8 Zn 3.23, 4 Ag 3.27
Zn 0.5467 0.5462 0.9076  1 Zn 2.60, 2 Ag 2.66
Zn 0.4534 0.4538 0.0924  1 Zn 2.60, 2 Ag 2.66
Zn 0.3099 0.8102 0.3792  5 Ag 2.66-2.72
Zn 0.6901 0.1898 0.6208  5 Ag 2.66-2.72
Ag 0.5952 0.0949 0.8102  3 Zn 2.66
Ag 0.2581 0.2581 0.4841  4 Zn 2.69-2.72, 4 Ag 2.99
Ag 0.7419 0.7420 0.5159  4 Zn 2.69-2.72, 4 Ag 2.99
Ag 0.4048 0.9051 0.1898  3 Zn 2.66

Results
total magnetization: 0.000 μB per cell
DOS(E_F): 8.0 states/eV per cell



(5)
NdZn4Ag12: optimized geometry, PBE-GGA.

Lattice parameters (Å, degrees): 7.7551 7.7551 7.7551 109.47 109.47 109.47
Closest atoms and distances in Å follow each position.
Element x y z (fractional)
Nd 0.0000 0.0000 0.0000  12 Ag 3.39
Zn 0.0000 0.5000 0.0000  6 Ag 2.54
Zn 0.5000 0.0000 0.0000  6 Ag 2.54
Zn 0.5000 0.5000 0.5000  6 Ag 2.54
Zn 0.0000 0.0000 0.5000  6 Ag 2.54
Ag 0.8437 0.3452 0.1889  2 Zn 2.54, 2 Ag 2.77-2.80
Ag 0.3452 0.5015 0.1563  2 Zn 2.54, 2 Ag 2.77-2.80
Ag 0.8111 0.1563 0.6548  2 Zn 2.54, 2 Ag 2.77-2.80
Ag 0.3452 0.1889 0.8437  2 Zn 2.54, 2 Ag 2.77-2.80
Ag 0.1889 0.8437 0.3452  2 Zn 2.54, 2 Ag 2.77-2.80
Ag 0.6548 0.4985 0.8437  2 Zn 2.54, 2 Ag 2.77-2.80
Ag 0.5015 0.1563 0.3452  2 Zn 2.54, 2 Ag 2.77-2.80
Ag 0.4985 0.8437 0.6548  2 Zn 2.54, 2 Ag 2.77-2.80
Ag 0.6548 0.8111 0.1563  2 Zn 2.54, 2 Ag 2.77-2.80
Ag 0.8437 0.6548 0.4985  2 Zn 2.54, 2 Ag 2.77-2.80
Ag 0.1563 0.3452 0.5015  2 Zn 2.54, 2 Ag 2.77-2.80
Ag 0.1563 0.6548 0.8111  2 Zn 2.54, 2 Ag 2.77-2.80

Results
total magnetization: 0.000 μB per cell
DOS(E_F): 4.6 states/eV per cell



(6)
NdZn3Ag9: optimized geometry, PBE-GGA.

Lattice parameters (Å, degrees): 5.3264 7.1088 7.2205 83.11 68.36 71.03
Closest atoms and distances in Å follow each position.
Element x y z (fractional)
Nd 0.0000 0.0000 0.0000  14 Ag 3.33-3.55, 6 Zn 3.61-3.68
Zn 0.5000 0.5000 0.0000  6 Ag 2.66-2.67
Zn 0.0000 0.0000 0.5000  2 Zn 2.66, 8 Ag 2.72-2.84
Zn 0.5000 0.0000 0.5000  2 Zn 2.66, 8 Ag 2.72-2.84
Ag 0.7002 0.7860 0.7818  3 Zn 2.67-2.73, 6 Ag 2.85-2.98
Ag 0.2998 0.2140 0.2182  3 Zn 2.67-2.73, 6 Ag 2.85-2.98
Ag 0.5179 0.2140 0.7818  3 Zn 2.67-2.73, 6 Ag 2.85-2.98
Ag 0.4821 0.7860 0.2182  3 Zn 2.67-2.73, 6 Ag 2.85-2.98
Ag 0.6681 0.3434 0.3572  3 Zn 2.82-3.01, 6 Ag 2.86-3.14
Ag 0.3319 0.6566 0.6428  3 Zn 2.82-3.01, 6 Ag 2.86-3.14
Ag 0.9747 0.6566 0.3572  3 Zn 2.82-3.01, 6 Ag 2.86-3.14
Ag 0.0253 0.3434 0.6428  3 Zn 2.82-3.01, 6 Ag 2.86-3.14
Ag 0.0000 0.5000 0.0000  2 Zn 2.66, 8 Ag 2.85-2.87

Results
total magnetization: 0.000 μB per cell
DOS(E_F): 5.1 states/eV per cell



| no. | ΔE_f (eV per formula unit) |
| --- | --- |
| 1 | -0.8 |
| 2 | 2.0 |
| 3 | -2.0 |
| 4 | -2.9 |
| 5 | 3.9 |
| 6 | -1.5 |